No. 1
Computed, not measured: a PBEsol-optimized structure of FeIrAu at the SCAN level of DFT.

Cell: 2.6911 2.6911 6.9848 Å, 95.91 95.91 117.76°
Site moments in Bohr magnetons follow the coordinates.
Positions (direct):
Au: 0.0057 0.0057 0.0114  0.05
Fe: 0.6718 0.6718 0.3435  3.19
Ir: 0.3225 0.3225 0.6450  0.49

Results
- SG: No. 42
- Volume: 44 Å³ per cell
- DOS(E_F): 2.570 states/eV per cell
- ΔE to the lowest computed polymorph: 0 meV/atom



No. 2
Computed, not measured: a PBEsol-optimized structure of Fe3IrAu at the SCAN level of DFT.

Cell: 4.5310 4.5310 4.5310 Å, 90.00 90.00 90.00°
Site moments in Bohr magnetons follow the coordinates.
Positions (direct):
Ir: 0.5000 0.5000 0.5000  0.97
Au: 0.0000 0.0000 0.0000  0.18
Fe: 0.0000 0.5000 0.0000  3.36
Fe: 0.0000 0.0000 0.5000  3.36
Fe: 0.5000 0.0000 0.0000  3.36

Results
- SG: No. 221
- Volume: 93 Å³ per cell
- Energy: -2.749 Ry/atom
- DOS(E_F): 4.084 states/eV per cell